Record 1
Material: Cs3ScBe
Method: DFT, PBE
State: relaxed

Computed properties:
- Formation energy: 1.30 eV per atom

Unit cell a=7.5019 b=7.5019 c=7.5019 alpha=90.00 beta=90.00 gamma=90.00
Last column: nearest neighbours and their distance in Å.
Space group Pm-3m (No. 221)
Unique sites:
Cs 0.0000 0.0000 0.5000 x3  2 Sc 3.75
Sc 0.0000 0.0000 0.0000 x1  6 Cs 3.75
Be 0.5000 0.5000 0.5000 x1  12 Cs 5.30

Record 2
Material: CsPbO2
Method: DFT, PBE
State: relaxed

Computed properties:
- Formation energy without anion corrections: -0.97 eV per atom

Unit cell a=4.0043 b=4.0043 c=22.5206 alpha=90.00 beta=90.00 gamma=120.00
Last column: nearest neighbours and their distance in Å.
Space group R3m (No. 160, hexagonal axes)
Unique sites:
Cs 0.0000 0.0000 0.0000 x3  3 O 2.79
Pb 0.0000 0.0000 0.4941 x3  1 O 2.05
O 0.0000 0.0000 0.4029 x3  1 Pb 2.05
O 0.0000 0.0000 0.8542 x3  3 Pb 2.39

Record 3
Material: Ho3UTl4Te8
Method: DFT, PBE
State: relaxed

Computed properties:
- Formation energy without anion corrections: -0.91 eV per atom

Unit cell a=8.8818 b=8.8818 c=24.6717 alpha=90.00 beta=90.00 gamma=120.00
Last column: nearest neighbours and their distance in Å.
Space group R-3m (No. 166, hexagonal axes)
Unique sites:
Ho 0.0000 0.5000 0.0000 x9  6 Te 3.10
U 0.0000 0.0000 0.0000 x3  6 Te 3.14
Tl 0.0000 0.0000 0.5000 x3  6 Te 3.45
Tl 0.0000 0.5000 0.5000 x9  6 Te 3.49
Te 0.0000 0.0000 0.2628 x6  3 Ho 3.10
Te 0.0044 0.5022 0.2619 x18  2 Ho 3.10, 1 U 3.14, 1 Tl 3.45

Record 4
Material: Nd3YRh8
Method: DFT, PBE
State: relaxed

Computed properties:
- Formation energy: -0.67 eV per atom

Unit cell a=5.3997 b=5.3997 c=26.4713 alpha=90.00 beta=90.00 gamma=120.00
Last column: nearest neighbours and their distance in Å.
Space group R3m (No. 160, hexagonal axes)
Unique sites:
Nd 0.0000 0.0000 0.0000 x3  12 Rh 3.17-3.19, 4 Nd 3.31-3.32
Nd 0.0000 0.0000 0.1253 x3  12 Rh 3.14-3.16, 3 Y 3.30, 1 Nd 3.32
Nd 0.0000 0.0000 0.6246 x3  12 Rh 3.17-3.19, 3 Nd 3.31, 1 Y 3.31
Y 0.0000 0.0000 0.4996 x3  12 Rh 3.14-3.16, 4 Nd 3.30-3.31
Rh 0.0000 0.0000 0.3124 x3  6 Rh 2.72
Rh 0.0000 0.0000 0.8125 x3  6 Rh 2.68-2.69
Rh 0.9997 0.4999 0.5617 x9  6 Rh 2.68-2.72
Rh 0.0007 0.5003 0.0631 x9  6 Rh 2.69-2.72

Record 5
Material: Ho6Mg5Sc
Method: DFT, PBE
State: relaxed

Computed properties:
- Formation energy: -0.04 eV per atom

Unit cell a=16.8643 b=7.6477 c=5.3150 alpha=90.00 beta=108.28 gamma=90.00
Last column: nearest neighbours and their distance in Å.
Space group C2/m (No. 12)
Unique sites:
Ho 0.0000 0.2492 0.0000 x4  6 Mg 3.25-3.29, 2 Sc 3.28
Ho 0.1662 0.2496 0.6654 x8  7 Mg 3.27-3.32, 1 Sc 3.28
Mg 0.0000 0.0000 0.5000 x2  8 Ho 3.27-3.28
Mg 0.1638 0.5000 0.1627 x4  8 Ho 3.25-3.32
Mg 0.1673 0.0000 0.1657 x4  8 Ho 3.27-3.29
Sc 0.0000 0.5000 0.5000 x2  8 Ho 3.28

Record 6
Material: YThCo4
Method: DFT, PBE
State: relaxed

Computed properties:
- Energy relative to the lowest polymorph listed for this composition: 0 meV per atom
- Formation energy: -0.20 eV per atom

Unit cell a=3.9299 b=3.9641 c=6.7866 alpha=90.00 beta=90.00 gamma=90.00
Last column: nearest neighbours and their distance in Å.
Space group Pmmm (No. 47)
Unique sites:
Y 0.0000 0.0000 0.0000 x1  12 Co 3.00-3.01
Th 0.5000 0.0000 0.5000 x1  12 Co 3.00-3.01
Co 0.0000 0.5000 0.3321 x2  3 Co 2.26-2.28
Co 0.5000 0.5000 0.1674 x2  3 Co 2.26-2.27

Record 7
Material: AlTcBr2
Method: DFT, PBE
State: relaxed

Computed properties:
- Formation energy without anion corrections: 0.70 eV per atom
- Energy relative to the lowest polymorph listed for this composition: 899 meV per atom

Unit cell a=4.0166 b=4.0166 c=11.8192 alpha=90.00 beta=90.00 gamma=90.00
Last column: nearest neighbours and their distance in Å.
Space group I-4m2 (No. 119)
Unique sites:
Al 0.0000 0.0000 0.0000 x2  4 Br 2.84
Tc 0.0000 0.5000 0.2500 x2  4 Br 2.84
Br 0.0000 0.0000 0.5000 x2  4 Al 2.84
Br 0.0000 0.5000 0.7500 x2  4 Tc 2.84

Record 8
Material: CdRuO4
Method: DFT, PBE
State: relaxed

Computed properties:
- Formation energy without anion corrections: -0.80 eV per atom
- Energy relative to the lowest polymorph listed for this composition: 0 meV per atom

Unit cell a=5.1901 b=5.1901 c=11.5336 alpha=90.00 beta=90.00 gamma=90.00
Last column: nearest neighbours and their distance in Å.
Space group I4_1/a (No. 88, origin choice 2)
Unique sites:
Cd 0.0000 0.2500 0.1250 x4  8 O 2.39-2.48
Ru 0.0000 0.2500 0.6250 x4  4 O 1.81
O 0.1627 0.0044 0.7083 x16  1 Ru 1.81

Record 9
Material: FeRe2W2
Method: DFT, PBE
State: relaxed

Computed properties:
- Formation energy: 0.70 eV per atom

Unit cell a=7.3693 b=7.3693 c=2.9656 alpha=90.00 beta=90.00 gamma=90.00
Last column: nearest neighbours and their distance in Å.
Space group P4/mbm (No. 127)
Unique sites:
Fe 0.0000 0.0000 0.0000 x2  4 Re 2.84, 2 Fe 2.97, 8 W 3.14
Re 0.1411 0.3589 0.0000 x4  6 W 2.55-2.67, 2 Fe 2.84
W 0.1603 0.6603 0.5000 x4  6 Re 2.55-2.67

Record 10
Material: CeTl2P2Pd7
Method: DFT, PBE
State: relaxed

Computed properties:
- Formation energy: -0.45 eV per atom

Unit cell a=5.8191 b=7.0681 c=11.4725 alpha=90.00 beta=96.14 gamma=90.00
Last column: nearest neighbours and their distance in Å.
Space group C2/m (No. 12)
Unique sites:
Ce 0.0000 0.0000 0.0000 x2  6 Pd 2.91-3.25, 2 P 2.99
Tl 0.1433 0.0000 0.3788 x4  5 Pd 2.74-2.94
P 0.2001 0.5000 0.1963 x4  6 Pd 2.32-2.42
Pd 0.0000 0.5000 0.0000 x2  2 P 2.42
Pd 0.1285 0.2969 0.8011 x8  2 P 2.32-2.39
Pd 0.1473 0.5000 0.3953 x4  1 P 2.34

Record 11
Material: ScUTcMo
Method: DFT, PBE
State: relaxed

Computed properties:
- Formation energy: 0.00 eV per atom

Unit cell a=6.6351 b=6.6351 c=6.6351 alpha=90.00 beta=90.00 gamma=90.00
Last column: nearest neighbours and their distance in Å.
Space group F-43m (No. 216)
Unique sites:
Sc 0.0000 0.0000 0.0000 x4  4 Mo 2.87, 4 Tc 2.87
U 0.0000 0.0000 0.5000 x4  4 Tc 2.87, 4 Mo 2.87
Tc 0.2500 0.2500 0.2500 x4  4 U 2.87, 4 Sc 2.87
Mo 0.2500 0.2500 0.7500 x4  4 U 2.87, 4 Sc 2.87

Record 12
Material: ThAl10Pd2
Method: DFT, PBE
State: relaxed

Computed properties:
- Formation energy: -0.41 eV per atom

Unit cell a=9.1179 b=10.3777 c=9.4599 alpha=90.00 beta=90.00 gamma=90.00
Last column: nearest neighbours and their distance in Å.
Space group Cmcm (No. 63)
Unique sites:
Th 0.0000 0.1197 0.2500 x4  16 Al 3.22-3.52, 4 Pd 3.55
Al 0.0000 0.1603 0.6026 x8  2 Pd 2.65, 6 Al 2.76-2.82
Al 0.0000 0.3859 0.0645 x8  6 Al 2.66-2.91, 2 Pd 2.75
Al 0.1448 0.3782 0.7500 x8  3 Al 2.64-2.81, 2 Pd 2.88
Al 0.2167 0.0000 0.0000 x8  2 Pd 2.61, 6 Al 2.75-2.91
Al 0.2364 0.3715 0.2500 x8  2 Pd 2.68, 8 Al 2.73-2.81
Pd 0.2500 0.2500 0.0000 x8  10 Al 2.61-2.88

Record 13
Material: Mn4CdIn
Method: DFT, PBE
State: relaxed

Computed properties:
- Formation energy: 0.39 eV per atom

Unit cell a=7.0257 b=7.0257 c=7.0257 alpha=90.00 beta=90.00 gamma=90.00
Last column: nearest neighbours and their distance in Å.
Space group F-43m (No. 216)
Unique sites:
Mn 0.1251 0.1251 0.1251 x16  6 Mn 2.48-2.49
Cd 0.2500 0.2500 0.7500 x4  12 Mn 2.91, 4 In 3.04
In 0.0000 0.0000 0.5000 x4  12 Mn 2.91, 4 Cd 3.04

Record 14
Material: La2Tb2DyTm
Method: DFT, PBE
State: relaxed

Computed properties:
- Formation energy: 0.07 eV per atom

Unit cell a=5.6969 b=9.8652 c=7.0719 alpha=90.00 beta=90.00 gamma=90.00
Last column: nearest neighbours and their distance in Å.
Space group Pmc2_1 (No. 26)
Unique sites:
La 0.0000 0.0001 0.0000 x2  6 La 3.54-3.79, 6 Tb 3.73-3.74, 2 Dy 3.82
La 0.5000 0.1794 0.2500 x2  5 Tb 3.23-3.54
Tb 0.0000 0.3339 0.2506 x2  3 Dy 3.19-3.54, 2 La 3.23
Tb 0.5000 0.1665 0.7498 x2  2 Dy 3.34, 7 La 3.41-3.73, 2 Tm 3.73-3.74
Dy 0.0000 0.3430 0.7505 x2  5 Tb 3.19-3.54
Tm 0.5000 0.5000 0.0005 x2  2 Tm 3.54, 2 La 3.62-3.63, 4 Dy 3.69, 6 Tb 3.73-3.74

Record 15
Material: LiTl2Ag2Br6
Method: DFT, PBE
State: relaxed

Computed properties:
- Formation energy without anion corrections: -0.64 eV per atom

Unit cell a=13.9452 b=7.7666 c=7.3250 alpha=90.00 beta=118.88 gamma=90.00
Last column: nearest neighbours and their distance in Å.
Space group C2/m (No. 12)
Unique sites:
Li 0.0000 0.0000 0.0000 x2  6 Br 2.75-2.85
Tl 0.2404 0.0000 0.6708 x4  5 Br 3.14-3.27
Ag 0.0683 0.5000 0.7326 x4  3 Br 2.57-2.65
Br 0.0673 0.2461 0.3076 x8  1 Ag 2.65, 1 Li 2.75
Br 0.2213 0.0000 0.0809 x4  1 Ag 2.57, 1 Li 2.85

Record 16
Material: ReHg2Rh
Method: DFT, PBE
State: relaxed

Computed properties:
- Energy relative to the lowest polymorph listed for this composition: 427 meV per atom
- Formation energy: 0.70 eV per atom

Unit cell a=2.8531 b=4.8294 c=5.1235 alpha=90.00 beta=91.05 gamma=90.00
Last column: nearest neighbours and their distance in Å.
Space group P2/m (No. 10)
Unique sites:
Re 0.0000 0.0000 0.0000 x1  4 Hg 2.84, 2 Re 2.85, 4 Rh 2.91-2.95
Hg 0.2608 0.5000 0.7484 x2  2 Rh 2.82, 2 Re 2.84, 6 Hg 2.85-3.00
Rh 0.5000 0.0000 0.5000 x1  4 Hg 2.82, 2 Rh 2.85, 4 Re 2.91-2.95

Record 17
Material: Fe4TcSb
Method: DFT, PBE
State: relaxed

Computed properties:
- Formation energy without anion corrections: 0.20 eV per atom

Unit cell a=6.8672 b=6.8672 c=6.8672 alpha=90.00 beta=90.00 gamma=90.00
Last column: nearest neighbours and their distance in Å.
Space group F-43m (No. 216)
Unique sites:
Fe 0.1241 0.1241 0.1241 x16  6 Fe 2.41-2.44
Tc 0.2500 0.2500 0.7500 x4  12 Fe 2.85, 4 Sb 2.97
Sb 0.0000 0.0000 0.5000 x4  12 Fe 2.85, 4 Tc 2.97

Record 18
Material: NpCuSbPd
Method: DFT, PBE
State: relaxed

Computed properties:
- Formation energy without anion corrections: -0.01 eV per atom

Unit cell a=6.8479 b=6.8479 c=6.8479 alpha=90.00 beta=90.00 gamma=90.00
Last column: nearest neighbours and their distance in Å.
Space group F-43m (No. 216)
Unique sites:
Np 0.0000 0.0000 0.0000 x4  4 Sb 2.97, 4 Cu 2.97
Cu 0.2500 0.2500 0.7500 x4  4 Np 2.97, 4 Pd 2.97
Sb 0.2500 0.2500 0.2500 x4  4 Np 2.97, 4 Pd 2.97
Pd 0.0000 0.0000 0.5000 x4  4 Cu 2.97, 4 Sb 2.97

Record 19
Material: NdGaAu
Method: DFT, PBE
State: relaxed

Computed properties:
- Formation energy: -0.53 eV per atom

Unit cell a=3.4879 b=3.4879 c=11.0127 alpha=90.00 beta=90.00 gamma=90.00
Last column: nearest neighbours and their distance in Å.
Space group I4mm (No. 107)
Unique sites:
Nd 0.0000 0.0000 0.0000 x2  5 Au 3.20-3.46, 5 Ga 3.24-3.41, 4 Nd 3.49
Ga 0.0000 0.0000 0.6902 x2  4 Au 2.82
Au 0.0000 0.0000 0.3146 x2  4 Ga 2.82

Record 20
Material: SrMn2Ir
Method: DFT, PBE
State: relaxed

Computed properties:
- Formation energy: 0.54 eV per atom

Unit cell a=4.2037 b=4.2037 c=4.3521 alpha=90.00 beta=90.00 gamma=90.00
Last column: nearest neighbours and their distance in Å.
Space group P4/mmm (No. 123)
Unique sites:
Sr 0.0000 0.0000 0.0000 x1  4 Ir 2.97, 8 Mn 3.03
Mn 0.0000 0.5000 0.5000 x2  4 Mn 2.97, 4 Ir 3.03, 4 Sr 3.03
Ir 0.5000 0.5000 0.0000 x1  4 Sr 2.97, 8 Mn 3.03